# PrYCu4 GGA-PBE relaxed
# Formation energy, kJ/mol of formula units: -130
data_PrYCu4
_symmetry_space_group_name_H-M 'I m m 2'
_symmetry_Int_Tables_number 44
_cell_length_a 4.325
_cell_length_b 7.077
_cell_length_c 7.450
_cell_angle_alpha 90.00
_cell_angle_beta 90.00
_cell_angle_gamma 90.00
loop_
_symmetry_equiv_pos_as_xyz
'x,y,z'
'-x,-y,z'
'-x,y,z'
'x,-y,z'
'x+1/2,y+1/2,z+1/2'
'-x+1/2,-y+1/2,z+1/2'
'-x+1/2,y+1/2,z+1/2'
'x+1/2,-y+1/2,z+1/2'
loop_
_atom_site_label
_atom_site_fract_x
_atom_site_fract_y
_atom_site_fract_z
Pr1 0.000 0.000 0.000
Y1 0.000 0.500 0.927
Cu1 0.000 0.204 0.628
Cu2 0.000 0.296 0.298

# PrZn2Cu2 GGA-PBE relaxed
# Formation energy, kJ/mol of formula units: -111
data_PrZn2Cu2
_symmetry_space_group_name_H-M 'I 4/m m m'
_symmetry_Int_Tables_number 139
_symmetry_space_group_name_Hall '-I 4 2'
_cell_length_a 4.063
_cell_length_b 4.063
_cell_length_c 10.816
_cell_angle_alpha 90.00
_cell_angle_beta 90.00
_cell_angle_gamma 90.00
loop_
_atom_site_label
_atom_site_fract_x
_atom_site_fract_y
_atom_site_fract_z
Pr1 0.000 0.000 0.000
Zn1 0.000 0.500 0.250
Cu1 0.000 0.000 0.387

formation energy of number 1 (PrYCu4)? -130 kJ/mol of formula units